Computed, not measured: a relaxed YErO crystal at the GGA-PBE level of DFT.

Values from the calculation:
- Formation energy from raw total energies: -1145 meV per atom
- ρ: 5893 kg/m³
- Space group: P3_212, No. 153
- Energy above the lowest structure with this stoichiometry: 0.666 eV/atom

Cell lengths 8.7076, 8.7076, 3.5040 Å; angles 90.00, 90.00, 120.00 degrees
Sites, in units of the cell vectors:
Y: 0.1054 0.5527 0.0000
Y: 0.4473 0.5527 0.6667
Y: 0.4473 0.8946 0.3333
Er: 0.2532 0.1266 0.0000
Er: 0.8734 0.1266 0.6667
Er: 0.8734 0.7468 0.3333
O: 0.1070 0.2140 0.3333
O: 0.1070 0.8930 0.6667
O: 0.7860 0.8930 0.0000

Computed, not measured: a relaxed Ac4SnPd3 crystal at the GGA-PBE level of DFT.

Values from the calculation:
- ρ: 9208 kg/m³
- Calculated formation energy: -72.2 kJ per mole of atoms
- Space group: Pmm2, No. 25

Cell lengths 4.3767, 4.7227, 11.7430 Å; angles 90.00, 90.00, 90.00 degrees
Sites, in units of the cell vectors:
Ac: 0.0000 0.0000 0.0000
Ac: 0.0000 0.5000 0.2600
Ac: 0.5000 0.0000 0.4774
Ac: 0.5000 0.5000 0.7723
Sn: 0.0000 0.0000 0.6982
Pd: 0.0000 0.5000 0.5380
Pd: 0.5000 0.0000 0.2085
Pd: 0.5000 0.5000 0.0466

Computed, not measured: a relaxed PWSe2 crystal at the GGA-PBE level of DFT.

Values from the calculation:
- Formation energy from raw total energies: 77 meV per atom
- ρ: 6860 kg/m³
- Space group: Pm, No. 6

Cell lengths 3.2900, 3.7395, 7.3341 Å; angles 90.00, 90.87, 90.00 degrees
Sites, in units of the cell vectors:
P: 0.0000 0.0000 0.0000
W: 0.4997 0.5000 0.0009
Se: 0.0090 0.5000 0.2762
Se: 0.4902 0.0000 0.7283

Computed, not measured: a relaxed AlV2S crystal at the GGA-PBE level of DFT.

Values from the calculation:
- Formation energy from raw total energies: 124 meV per atom
- ρ: 4871 kg/m³
- Space group: Fm-3m, No. 225
- Energy above the lowest structure with this stoichiometry: 0.155 eV/atom

Cell lengths 4.2652, 4.2652, 4.2652 Å; angles 60.00, 60.00, 60.00 degrees
Sites, in units of the cell vectors:
Al: 0.0000 0.0000 0.0000
V: 0.2500 0.2500 0.2500
V: 0.7500 0.7500 0.7500
S: 0.5000 0.5000 0.5000

Computed, not measured: a relaxed TaGeF2 crystal at the GGA-PBE level of DFT.

Values from the calculation:
- Formation energy from raw total energies: -989 meV per atom
- ρ: 6517 kg/m³
- Space group: I-42d, No. 122
- Energy above the lowest structure with this stoichiometry: 0.358 eV/atom

Cell lengths 5.9716, 5.9716, 5.9716 Å; angles 100.48, 100.48, 129.52 degrees
Sites, in units of the cell vectors:
Ta: 0.0000 0.0000 0.0000
Ta: 0.7500 0.2500 0.5000
Ge: 0.2500 0.7500 0.5000
Ge: 0.5000 0.5000 0.0000
F: 0.3750 0.2073 0.3323
F: 0.7927 0.1250 0.1677
F: 0.8750 0.0427 0.6677
F: 0.9573 0.6250 0.8323

Computed, not measured: a relaxed MnFeMo2 crystal at the GGA-PBE level of DFT.

Values from the calculation:
- ρ: 9116 kg/m³
- Calculated formation energy: 12.3 kJ per mole of atoms
- Space group: Cmmm, No. 65
- Energy above the lowest structure with this stoichiometry: 0.019 eV/atom

Cell lengths 2.6346, 2.6346, 8.3319 Å; angles 90.00, 90.00, 107.58 degrees
Sites, in units of the cell vectors:
Mn: 0.0000 0.0000 0.0000
Fe: 0.0000 0.0000 0.5000
Mo: 0.5000 0.5000 0.2480
Mo: 0.5000 0.5000 0.7520

Computed, not measured: a relaxed ZrHg2Os crystal at the GGA-PBE level of DFT.

Values from the calculation:
- ρ: 14545 kg/m³
- Calculated formation energy: 34.0 kJ per mole of atoms
- Space group: F-43m, No. 216
- Energy above the lowest structure with this stoichiometry: 0.269 eV/atom

Cell lengths 4.7945, 4.7945, 4.7945 Å; angles 60.00, 60.00, 60.00 degrees
Sites, in units of the cell vectors:
Zr: 0.0000 0.0000 0.0000
Hg: 0.2500 0.2500 0.2500
Hg: 0.5000 0.5000 0.5000
Os: 0.7500 0.7500 0.7500

Computed, not measured: a relaxed ZrTlP2S crystal at the GGA-PBE level of DFT.

Values from the calculation:
- Formation energy from raw total energies: 1017 meV per atom
- ρ: 5312 kg/m³
- Space group: P4/mmm, No. 123
- Energy above the lowest structure with this stoichiometry: 1.117 eV/atom

Cell lengths 4.9460, 4.9460, 4.9791 Å; angles 90.00, 90.00, 90.00 degrees
Sites, in units of the cell vectors:
Zr: 0.0000 0.0000 0.0000
Tl: 0.5000 0.5000 0.5000
P: 0.0000 0.5000 0.5000
P: 0.5000 0.0000 0.5000
S: 0.5000 0.5000 0.0000

Computed, not measured: a relaxed NdHo4Cd crystal at the GGA-PBE level of DFT.

Values from the calculation:
- ρ: 8425 kg/m³
- Calculated formation energy: -8.3 kJ per mole of atoms
- Space group: P4/mmm, No. 123
- Energy above the lowest structure with this stoichiometry: 0.000 eV/atom

Cell lengths 3.5796, 3.5796, 14.0957 Å; angles 90.00, 90.00, 90.00 degrees
Sites, in units of the cell vectors:
Nd: 0.0000 0.0000 0.0000
Ho: 0.0000 0.0000 0.3548
Ho: 0.0000 0.0000 0.6452
Ho: 0.5000 0.5000 0.1800
Ho: 0.5000 0.5000 0.8200
Cd: 0.5000 0.5000 0.5000

Computed, not measured: a relaxed RbCdRhCl6 crystal at the GGA-PBE level of DFT.

Values from the calculation:
- Formation energy from raw total energies: -1089 meV per atom
- ρ: 3098 kg/m³
- Space group: P312, No. 149

Cell lengths 6.6221, 6.6221, 7.2471 Å; angles 90.00, 90.00, 120.00 degrees
Sites, in units of the cell vectors:
Rb: 0.0000 0.0000 0.0000
Cd: 0.3333 0.6667 0.5000
Rh: 0.6667 0.3333 0.5000
Cl: 0.3839 0.0344 0.6898
Cl: 0.3839 0.3495 0.3102
Cl: 0.6505 0.0344 0.3102
Cl: 0.6505 0.6161 0.6898
Cl: 0.9656 0.3495 0.6898
Cl: 0.9656 0.6161 0.3102

Computed, not measured: a relaxed SrTc2 crystal at the GGA-PBE level of DFT.

Values from the calculation:
- ρ: 7041 kg/m³
- Calculated formation energy: 39.5 kJ per mole of atoms
- Space group: Cmcm, No. 63
- Energy above the lowest structure with this stoichiometry: 0.090 eV/atom

Cell lengths 6.3360, 6.3360, 4.5600 Å; angles 90.00, 90.00, 46.95 degrees
Sites, in units of the cell vectors:
Sr: 0.2368 0.7632 0.7500
Sr: 0.7632 0.2368 0.2500
Tc: 0.1197 0.4334 0.2500
Tc: 0.4334 0.1197 0.7500
Tc: 0.5666 0.8803 0.2500
Tc: 0.8803 0.5666 0.7500

Computed, not measured: a relaxed Bi2SeO crystal at the GGA-PBE level of DFT.

Values from the calculation:
- Formation energy from raw total energies: 31 meV per atom
- ρ: 9921 kg/m³
- Space group: Fm-3m, No. 225
- Energy above the lowest structure with this stoichiometry: 0.376 eV/atom

Cell lengths 4.9517, 4.9517, 4.9517 Å; angles 60.00, 60.00, 60.00 degrees
Sites, in units of the cell vectors:
Bi: 0.2500 0.2500 0.2500
Bi: 0.7500 0.7500 0.7500
Se: 0.0000 0.0000 0.0000
O: 0.5000 0.5000 0.5000

Computed, not measured: a relaxed Sr2MnGe4Pt3 crystal at the GGA-PBE level of DFT.

Values from the calculation:
- ρ: 9142 kg/m³
- Calculated formation energy: -67.0 kJ per mole of atoms
- Space group: P-4m2, No. 115

Cell lengths 4.3813, 4.3813, 10.4651 Å; angles 90.00, 90.00, 90.00 degrees
Sites, in units of the cell vectors:
Sr: 0.0000 0.5000 0.2483
Sr: 0.5000 0.0000 0.7517
Mn: 0.0000 0.0000 0.5000
Ge: 0.0000 0.0000 0.0000
Ge: 0.0000 0.5000 0.6277
Ge: 0.5000 0.0000 0.3723
Ge: 0.5000 0.5000 0.0000
Pt: 0.0000 0.5000 0.8752
Pt: 0.5000 0.0000 0.1248
Pt: 0.5000 0.5000 0.5000

Computed, not measured: a relaxed PmNdSm2Er5 crystal at the GGA-PBE level of DFT.

Values from the calculation:
- ρ: 8134 kg/m³
- Calculated formation energy: 25.0 kJ per mole of atoms
- Space group: I4/mcm, No. 140

Cell lengths 9.8591, 9.8591, 9.8591 Å; angles 127.69, 127.69, 77.12 degrees
Sites, in units of the cell vectors:
Pm: 0.2500 0.2500 0.0000
Pm: 0.7500 0.7500 0.0000
Nd: 0.2500 0.7500 0.5000
Nd: 0.7500 0.2500 0.5000
Sm: 0.1169 0.6169 0.7338
Sm: 0.3831 0.1169 0.5000
Sm: 0.6169 0.8831 0.5000
Sm: 0.8831 0.3831 0.2662
Er: 0.0000 0.0000 0.0000
Er: 0.0718 0.1560 0.5000
Er: 0.1560 0.6560 0.0842
Er: 0.3440 0.4282 0.5000
Er: 0.4282 0.9282 0.0842
Er: 0.5000 0.5000 0.0000
Er: 0.5718 0.0718 0.9158
Er: 0.6560 0.5718 0.5000
Er: 0.8440 0.3440 0.9158
Er: 0.9282 0.8440 0.5000

Computed, not measured: a relaxed LaHoCo crystal at the GGA-PBE level of DFT.

Values from the calculation:
- ρ: 7591 kg/m³
- Calculated formation energy: -12.0 kJ per mole of atoms
- Space group: P2_1/m, No. 11
- Energy above the lowest structure with this stoichiometry: 0.027 eV/atom

Cell lengths 5.4146, 4.6397, 6.5416 Å; angles 90.00, 105.05, 90.00 degrees
Sites, in units of the cell vectors:
La: 0.0689 0.2500 0.3027
La: 0.9311 0.7500 0.6973
Ho: 0.4863 0.2500 0.7973
Ho: 0.5137 0.7500 0.2027
Co: 0.3554 0.7500 0.5704
Co: 0.6446 0.2500 0.4296

Computed, not measured: a relaxed YReHN2 crystal at the GGA-PBE level of DFT.

Values from the calculation:
- ρ: 7230 kg/m³
- E_tot: -6.39 eV per atom
- Space group: P4/mmm, No. 123

Cell lengths 4.3837, 4.3837, 3.6349 Å; angles 90.00, 90.00, 90.00 degrees
Sites, in units of the cell vectors:
Y: 0.0000 0.0000 0.0000
Re: 0.5000 0.5000 0.5000
H: 0.0000 0.0000 0.5000
N: 0.0000 0.5000 0.0000
N: 0.5000 0.0000 0.0000

Computed, not measured: a relaxed NbTc2Se crystal at the GGA-PBE level of DFT.

Values from the calculation:
- Formation energy from raw total energies: 868 meV per atom
- ρ: 6975 kg/m³
- Space group: I-42d, No. 122

Cell lengths 6.4427, 6.4427, 6.4427 Å; angles 124.32, 124.32, 82.66 degrees
Sites, in units of the cell vectors:
Nb: 0.0000 0.0000 0.0000
Nb: 0.7500 0.2500 0.5000
Tc: 0.1450 0.6250 0.0200
Tc: 0.3750 0.3950 0.5200
Tc: 0.6050 0.1250 0.9800
Tc: 0.8750 0.8550 0.4800
Se: 0.2500 0.7500 0.5000
Se: 0.5000 0.5000 0.0000

Computed, not measured: a relaxed Ho2ScCo2 crystal at the GGA-PBE level of DFT.

Values from the calculation:
- ρ: 8160 kg/m³
- Calculated formation energy: -22.6 kJ per mole of atoms
- Space group: Immm, No. 71

Cell lengths 5.6409, 5.6409, 5.6409 Å; angles 139.11, 118.99, 76.08 degrees
Sites, in units of the cell vectors:
Ho: 0.1998 0.1998 0.0000
Ho: 0.8002 0.8002 0.0000
Sc: 0.5000 0.0000 0.5000
Co: 0.2059 0.5000 0.7059
Co: 0.7941 0.5000 0.2941

Computed, not measured: a relaxed Ta3AlPt crystal at the GGA-PBE level of DFT.

Values from the calculation:
- ρ: 10999 kg/m³
- Calculated formation energy: 108.0 kJ per mole of atoms
- Space group: Pm-3m, No. 221
- Energy above the lowest structure with this stoichiometry: 0.000 eV/atom

Cell lengths 4.8697, 4.8697, 4.8697 Å; angles 90.00, 90.00, 90.00 degrees
Sites, in units of the cell vectors:
Ta: 0.0000 0.0000 0.5000
Ta: 0.0000 0.5000 0.0000
Ta: 0.5000 0.0000 0.0000
Al: 0.5000 0.5000 0.5000
Pt: 0.0000 0.0000 0.0000

Computed, not measured: a relaxed Nd2ReN crystal at the GGA-PBE level of DFT.

Values from the calculation:
- Formation energy from raw total energies: 263 meV per atom
- ρ: 9794 kg/m³
- Space group: R-3m, No. 166

Cell lengths 9.0208, 9.0208, 9.0208 Å; angles 21.04, 21.04, 21.04 degrees
Sites, in units of the cell vectors:
Nd: 0.1095 0.1095 0.1095
Nd: 0.8905 0.8905 0.8905
Re: 0.0000 0.0000 0.0000
N: 0.5000 0.5000 0.5000

no.,total moment (μB/f.u.)
1,0.000
2,0.000
3,0.000
4,0.000
5,0.000
6,3.416
7,0.345
8,0.000
9,0.004
10,0.000
11,0.000
12,0.000
13,3.110
14,0.000
15,0.000
16,2.994
17,0.000
18,0.000
19,0.000
20,0.000